# 1
This record from Alexandria describes a geometry-optimized LaSmEr2 structure. The functional is PBE-GGA.

a b c (Å): 4.996 5.137 5.137
angles (deg): 90.00 90.00 90.00
Atoms (fractional coordinates):
1 La 0.500 0.000 0.000
2 Sm 0.500 0.500 0.500
3 Er 0.000 0.000 0.500
4 Er 0.000 0.500 0.000

Computed properties:
symmetry	P4/mmm, No. 123
ΔE to the lowest computed polymorph	13	meV per atom
V	131.8	Å³/f.u.

=====

# 2
This record from Alexandria describes a geometry-optimized La2Sm3Er2 structure. The functional is PBE-GGA.

a b c (Å): 3.548 8.665 9.096
angles (deg): 118.51 101.25 90.00
Atoms (fractional coordinates):
1 La 0.565 0.914 0.130
2 La 0.435 0.086 0.870
3 Sm 0.000 0.500 0.000
4 Sm 0.212 0.795 0.425
5 Sm 0.788 0.205 0.575
6 Er 0.848 0.661 0.696
7 Er 0.152 0.339 0.304

Computed properties:
symmetry	C2/m, No. 12
ΔE to the lowest computed polymorph	105	meV per atom
V	239.6	Å³/f.u.

=====

# 3
This record from Alexandria describes a geometry-optimized LaSm5Er6 structure. The functional is PBE-GGA.

a b c (Å): 5.087 10.027 9.470
angles (deg): 121.96 105.57 90.01
Atoms (fractional coordinates):
1 La 0.000 0.000 0.000
2 Sm 0.668 0.168 0.336
3 Sm 0.333 0.333 0.666
4 Sm 0.000 0.500 0.000
5 Sm 0.667 0.667 0.334
6 Sm 0.332 0.832 0.664
7 Er 0.833 0.582 0.666
8 Er 0.833 0.084 0.666
9 Er 0.500 0.748 0.000
10 Er 0.500 0.252 0.000
11 Er 0.167 0.916 0.334
12 Er 0.167 0.418 0.334

Computed properties:
symmetry	Immm, No. 71
V	388.8	Å³/f.u.
raw total energy	-4.636	eV/atom

=====

# 4
This record from Alexandria describes a geometry-optimized La4Sm5Er2 structure. The functional is PBE-GGA.

a b c (Å): 3.533 9.499 12.596
angles (deg): 112.15 98.06 90.00
Atoms (fractional coordinates):
1 La 0.000 0.289 0.000
2 La 0.593 0.593 0.187
3 La 0.000 0.711 0.000
4 La 0.407 0.407 0.813
5 Sm 0.848 0.051 0.696
6 Sm 0.848 0.645 0.696
7 Sm 0.152 0.355 0.304
8 Sm 0.152 0.949 0.304
9 Sm 0.500 0.000 0.000
10 Er 0.272 0.272 0.543
11 Er 0.728 0.728 0.457

Computed properties:
symmetry	Immm, No. 71
ΔE to the lowest computed polymorph	178	meV per atom
V	387.0	Å³/f.u.

=====

# 5
This record from Alexandria describes a geometry-optimized La4Sm15Er structure. The functional is PBE-GGA.

a b c (Å): 5.164 5.164 25.776
angles (deg): 90.00 90.00 90.00
Atoms (fractional coordinates):
1 La 0.000 0.000 0.199
2 La 0.000 0.000 0.399
3 La 0.000 0.000 0.601
4 La 0.000 0.000 0.801
5 Sm 0.500 0.500 0.000
6 Sm 0.500 0.500 0.198
7 Sm 0.500 0.500 0.400
8 Sm 0.500 0.500 0.600
9 Sm 0.500 0.500 0.802
10 Sm 0.500 0.000 0.097
11 Sm 0.500 0.000 0.299
12 Sm 0.500 0.000 0.500
13 Sm 0.500 0.000 0.701
14 Sm 0.500 0.000 0.903
15 Sm 0.000 0.500 0.097
16 Sm 0.000 0.500 0.299
17 Sm 0.000 0.500 0.500
18 Sm 0.000 0.500 0.701
19 Sm 0.000 0.500 0.903
20 Er 0.000 0.000 0.000

Computed properties:
symmetry	P4/mmm, No. 123
V	687.4	Å³/f.u.
raw total energy	-4.732	eV/atom

=====

# 6
This record from Alexandria describes a geometry-optimized La3SmEr12 structure. The functional is PBE-GGA.

a b c (Å): 5.040 5.040 20.167
angles (deg): 90.00 90.00 90.00
Atoms (fractional coordinates):
1 La 0.000 0.000 0.250
2 La 0.000 0.000 0.500
3 La 0.000 0.000 0.750
4 Sm 0.000 0.000 0.000
5 Er 0.500 0.500 0.000
6 Er 0.500 0.500 0.248
7 Er 0.500 0.500 0.500
8 Er 0.500 0.500 0.752
9 Er 0.500 0.000 0.123
10 Er 0.500 0.000 0.374
11 Er 0.500 0.000 0.626
12 Er 0.500 0.000 0.877
13 Er 0.000 0.500 0.123
14 Er 0.000 0.500 0.374
15 Er 0.000 0.500 0.626
16 Er 0.000 0.500 0.877

Computed properties:
symmetry	P4/mmm, No. 123
V	512.2	Å³/f.u.
raw total energy	-4.606	eV/atom